Entry from Alexandria via LeMat-Bulk: SbTe2PdO at its PBEsol-relaxed geometry (meta-GGA SCAN).

Unit cell a=4.7520 b=4.7520 c=4.6062 alpha=90.00 beta=90.00 gamma=90.00
Space group P4/mmm (No. 123)
Unique sites:
Sb: 0.0000 0.0000 0.0000 x1
Te: 0.0000 0.5000 0.5000 x2
Pd: 0.5000 0.5000 0.0000 x1
O: 0.0000 0.0000 0.5000 x1

density of states at the Fermi level	4.1	states/eV per cell
magnetization	0.0	μB/cell
formation energy without anion corrections	0.305	eV/atom